1.
## AcPr2SmY5 (PBE-GGA)

Data for an optimized crystal structure of AcPr2SmY5.

For the calculated volume, the calculation gives 34.82 Å³ per atom. The value obtained for the density is 5.85 Mg/m³. The calculation puts the formation energy at 0.251 eV/atom.

The structure in POSCAR format:
```
AcPr2SmY5
1.0
-2.674 7.905 2.984
-2.213 -3.675 7.755
9.785 -0.679 -2.594
Ac Pr Y Sm
2 4 10 2
direct
0.250 0.750 0.500
0.750 0.250 0.500
0.616 0.116 0.000
0.384 0.884 0.000
0.884 0.616 0.000
0.116 0.384 0.000
0.653 0.153 0.732
0.578 0.653 0.732
0.078 0.578 0.732
0.422 0.347 0.268
0.500 0.500 0.000
0.847 0.922 0.268
0.153 0.078 0.732
0.347 0.847 0.268
0.000 0.000 0.000
0.922 0.422 0.268
0.250 0.250 0.500
0.750 0.750 0.500
```

=====

2.
## Ba2MgZnIn (PBE-GGA)

Data for an optimized crystal structure of Ba2MgZnIn.

For the calculated volume, the calculation gives 45.35 Å³ per atom. The value obtained for the density is 3.51 Mg/m³. The calculation puts the formation energy at 0.195 eV/atom.

The structure in POSCAR format:
```
Ba2MgZnIn
1.0
-6.096 1.476 -2.125
-2.020 -2.613 3.977
0.061 5.520 3.658
Mg Ba Zn In
1 2 1 1
direct
0.000 0.000 0.000
0.500 0.000 0.000
0.000 0.000 0.500
0.500 0.500 0.500
0.000 0.500 0.000
```

=====

3.
## PaNi2Te (PBE-GGA)

Data for an optimized crystal structure of PaNi2Te.

For the calculated volume, the calculation gives 18.17 Å³ per atom. The value obtained for the density is 10.88 Mg/m³. The value obtained for the uncorrected formation energy is -0.37 eV per atom.

The structure in POSCAR format:
```
PaNi2Te
1.0
4.133 0.000 0.000
2.067 3.580 0.000
2.067 1.193 4.911
Ni Te Pa
2 1 1
direct
0.234 0.234 0.298
0.766 0.766 0.702
0.500 0.500 0.500
0.000 0.000 0.000
```

=====

Q: Which value of calculated volume does entry 3 give?
A: 18.17 Å³ per atom